Material: Li2YCu
Method: DFT, PBE-GGA
State: relaxed

The value obtained for the excess energy over the best structure of this formula in the dataset is 0.0850 eV/atom. Its total magnetization is 0.00 μB/atom. The calculation puts the formation energy at 0.06 eV per atom.

The structure belongs to space group P2/m (No. 10); the cell edges are 3.2486, 5.0719 and 4.8800 Å and the angles 90.00°, 94.02° and 90.00°. The inequivalent atoms are Li at (0.1813, 0.0000, 0.2836), Y at (0.5000, 0.5000, 0.0000) and Cu at (0.0000, 0.5000, 0.5000).